[1]
The following is a PBE-GGA calculation of a geometry-optimized KRbAu3 structure, from Alexandria via LeMat-Bulk.

Geometry as CIF:
```
data_KRbAu3
_space_group_name_H-M_alt 'R -3 m'
_space_group_IT_number 166
_space_group_name_Hall '-R 3 2"'
_cell_length_a 6.9427
_cell_length_b 6.9427
_cell_length_c 22.0680
_cell_angle_alpha 90.00
_cell_angle_beta 90.00
_cell_angle_gamma 120.00
loop_
_atom_site_label
_atom_site_type_symbol
_atom_site_fract_x
_atom_site_fract_y
_atom_site_fract_z
_atom_site_occupancy
K1 K 0.0000 0.0000 0.0811 1
Rb1 Rb 0.0000 0.0000 0.3550 1
Au1 Au 0.0593 0.5296 0.8687 1
```

[2]
The following is a PBE-GGA calculation of a geometry-optimized KRbAu2 structure, from Alexandria via LeMat-Bulk.

Geometry as CIF:
```
data_KRbAu2
_space_group_name_H-M_alt 'R 3 m'
_space_group_IT_number 160
_space_group_name_Hall 'R 3 -2"'
_cell_length_a 4.8160
_cell_length_b 4.8160
_cell_length_c 24.7114
_cell_angle_alpha 90.00
_cell_angle_beta 90.00
_cell_angle_gamma 120.00
loop_
_atom_site_label
_atom_site_type_symbol
_atom_site_fract_x
_atom_site_fract_y
_atom_site_fract_z
_atom_site_occupancy
K1 K 0.0000 0.0000 0.0000 1
Rb1 Rb 0.0000 0.0000 0.1691 1
Au1 Au 0.0000 0.0000 0.5905 1
Au2 Au 0.0000 0.0000 0.7451 1
```

[3]
The following is a PBE-GGA calculation of a geometry-optimized K5Rb2Au4 structure, from Alexandria via LeMat-Bulk.

Geometry as CIF:
```
data_K5Rb2Au4
_space_group_name_H-M_alt 'C 1 2/m 1'
_space_group_IT_number 12
_space_group_name_Hall '-C 2y'
_cell_length_a 15.3065
_cell_length_b 7.3070
_cell_length_c 9.3988
_cell_angle_alpha 90.00
_cell_angle_beta 112.91
_cell_angle_gamma 90.00
loop_
_atom_site_label
_atom_site_type_symbol
_atom_site_fract_x
_atom_site_fract_y
_atom_site_fract_z
_atom_site_occupancy
K1 K 0.0000 0.0000 0.0000 1
K2 K 0.1064 0.2603 0.4348 1
Rb1 Rb 0.2482 0.5000 0.1188 1
Au1 Au 0.0939 0.5000 0.7418 1
Au2 Au 0.2232 0.0000 0.2640 1
```

For each record above, in turn, the calculated total energy values are -12.4 -9.6 -22.6 eV per formula unit.
For each record above, in turn, the calculated DOS(E_F) values are 7.02 0.00 6.97 states/eV per cell.